(1)
CuNiNO2 PBE+U relaxed; Fermi-level density of states = 1.203 states/eV/atom; E = -20.77 eV/cell; magnetic moment = 0.101 μB per atom
1.0
-0.0947 1.6933 3.3549
1.3417 -3.1195 1.6124
3.3920 1.1963 -0.5080
Ni O Cu N
1 2 1 1
direct
0.0000 0.0000 0.0000
0.5000 0.0000 0.0000
0.0000 0.5000 0.0000
0.5000 0.5000 0.5000
0.0000 0.0000 0.5000

---

(2)
CrP4O12 PBE+U relaxed; Fermi-level density of states = 0.273 states/eV/atom; magnetic moment = 0.117 μB per atom; E above lowest polymorph = 6 meV per atom
1.0
-4.7020 -3.7229 5.9458
-1.9169 -2.8298 -7.7226
3.1623 -6.9534 0.1900
O Cr P
24 2 8
direct
0.9904 0.7341 0.0148
0.3868 0.6132 0.7500
0.3780 0.6850 0.4192
0.1244 0.8756 0.2500
0.6486 0.1121 0.1841
0.1698 0.3837 0.6428
0.6132 0.3868 0.2500
0.8302 0.6163 0.3572
0.8756 0.1244 0.7500
0.3837 0.1698 0.1428
0.9089 0.8509 0.6818
0.0096 0.2659 0.9852
0.6163 0.8302 0.8572
0.6850 0.3780 0.9192
0.3150 0.6220 0.0808
0.1491 0.0911 0.8182
0.2659 0.0096 0.4852
0.1121 0.6486 0.6841
0.0911 0.1491 0.3182
0.7341 0.9904 0.5148
0.3514 0.8879 0.8159
0.6220 0.3150 0.5808
0.8509 0.9089 0.1818
0.8879 0.3514 0.3159
0.1301 0.8699 0.7500
0.8699 0.1301 0.2500
0.9474 0.7902 0.1868
0.4055 0.7402 0.8876
0.2598 0.5945 0.6124
0.2098 0.0526 0.3132
0.7902 0.9474 0.6868
0.7402 0.4055 0.3876
0.5945 0.2598 0.1124
0.0526 0.2098 0.8132

---

Q: Among the records above, which one has the lowest magnetic moment?
A: CuNiNO2